An optimized crystal structure of LiNi2IrO5. Source: the Alexandria database, functional PBE with a Hubbard U.

Its density of states at the Fermi level is 5.122 states/eV/f.u. Its calculated volume is 11.84 Å³/atom. For the total magnetization, the calculation gives 0.322 μB per atom. As for the raw total energy: -5.141 eV per atom.

The space group is Immm (No. 71) and the conventional cell measures 3.715, 5.480 and 10.473 Å, with angles of 90.00, 90.00 and 90.00 degrees. Symmetry generates all atoms from Li at (0.000, 0.000, 0.000), Ni at (0.000, 0.500, 0.234), Ir at (0.000, 0.000, 0.500), O at (0.000, 0.234, 0.356) and O at (0.000, 0.500, 0.000).